Record 1
DFT (PBE-GGA) results for Pm2Ga3Cu12Pd after structural relaxation.

Values from the calculation:
The value obtained for the calculated volume is 873.3 Å³/cell. The value obtained for the electronic total energy is -4.03 eV/atom. As for the energy of formation from the pure elements: 0.0266 eV/atom.

Unit cell a=5.3040 b=5.3040 c=35.8449 alpha=90.00 beta=90.00 gamma=120.00
With the nearest neighbours (Å) after each atom.
Space group R-3m (No. 166, hexagonal axes)
One atom of each set of equivalent atoms:
Pm1 0.0000 0.0000 0.1424 (multiplicity 6)  6 Cu 2.92, 3 Pd 3.18
Ga1 0.0000 0.5000 0.0000 (multiplicity 9)  4 Cu 2.53, 4 Ga 2.65
Cu1 0.0006 0.5003 0.1080 (multiplicity 18)  6 Cu 2.46-2.66, 1 Pd 2.60
Cu2 0.0181 0.5090 0.6113 (multiplicity 18)  4 Cu 2.46-2.51, 2 Ga 2.53
Pd1 0.0000 0.0000 0.5000 (multiplicity 3)  6 Cu 2.60

Record 2
DFT (PBE-GGA) results for AsRu2Au after structural relaxation.

Values from the calculation:
The value obtained for the calculated volume is 193.5 Å³/cell. The value obtained for the electronic total energy is -6.40 eV/atom. As for the energy of formation from the pure elements: 0.2242 eV/atom.

Unit cell a=2.8480 b=2.8480 c=27.5428 alpha=90.00 beta=90.00 gamma=120.00
With the nearest neighbours (Å) after each atom.
Space group R3m (No. 160, hexagonal axes)
One atom of each set of equivalent atoms:
As1 0.0000 0.0000 0.0000 (multiplicity 3)  3 Ru 2.57, 6 As 2.85
Ru1 0.0000 0.0000 0.4802 (multiplicity 3)  9 Ru 2.64-2.85, 3 Au 2.90
Ru2 0.0000 0.0000 0.7385 (multiplicity 3)  3 As 2.57, 9 Ru 2.64-2.85
Au1 0.0000 0.0000 0.2337 (multiplicity 3)  6 Au 2.85, 3 Ru 2.90

Record 3
DFT (PBE-GGA) results for SrSi4Pt after structural relaxation.

Values from the calculation:
The value obtained for the calculated volume is 429.8 Å³/cell. The uncorrected formation energy is 0.180 eV per atom. The value obtained for the electronic total energy is -4.72 eV/atom.

Unit cell a=7.5465 b=7.5465 c=7.5465 alpha=90.00 beta=90.00 gamma=90.00
With the nearest neighbours (Å) after each atom.
Space group F-43m (No. 216)
One atom of each set of equivalent atoms:
Sr1 0.0000 0.0000 0.0000 (multiplicity 4)  12 Si 3.13, 4 Pt 3.27
Si1 0.1230 0.1230 0.3770 (multiplicity 16)  6 Si 2.63-2.71
Pt1 0.2500 0.2500 0.7500 (multiplicity 4)  12 Si 3.12, 4 Sr 3.27

Record 4
DFT (PBE-GGA) results for LiPuTlSb after structural relaxation.

Values from the calculation:
The value obtained for the calculated volume is 407.1 Å³/cell. The uncorrected formation energy is -0.288 eV per atom. The value obtained for the electronic total energy is -5.97 eV/atom.

Unit cell a=7.4112 b=7.4112 c=7.4112 alpha=90.00 beta=90.00 gamma=90.00
With the nearest neighbours (Å) after each atom.
Space group F-43m (No. 216)
One atom of each set of equivalent atoms:
Li1 0.0000 0.0000 0.0000 (multiplicity 4)  4 Tl 3.21, 4 Sb 3.21
Pu1 0.0000 0.0000 0.5000 (multiplicity 4)  4 Tl 3.21, 4 Sb 3.21
Tl1 0.2500 0.2500 0.2500 (multiplicity 4)  4 Li 3.21, 4 Pu 3.21
Sb1 0.2500 0.2500 0.7500 (multiplicity 4)  4 Li 3.21, 4 Pu 3.21

Record 5
DFT (PBE-GGA) results for Mg4In2Ga3 after structural relaxation.

Values from the calculation:
The value obtained for the calculated volume is 381.4 Å³/cell. The value obtained for the electronic total energy is -2.41 eV/atom. As for the energy of formation from the pure elements: -0.0886 eV/atom.

Unit cell a=9.5392 b=4.5339 c=9.2735 alpha=90.00 beta=108.03 gamma=90.00
With the nearest neighbours (Å) after each atom.
Space group C2/m (No. 12)
One atom of each set of equivalent atoms:
Mg1 0.0157 0.0000 0.3394 (multiplicity 4)  6 Ga 2.99-3.12, 3 In 3.07-3.10, 3 Mg 3.08-3.22
Mg2 0.1647 0.5000 0.8893 (multiplicity 4)  4 Ga 3.04-3.11, 4 In 3.08-3.12, 4 Mg 3.15-3.22
In1 0.1742 0.5000 0.2291 (multiplicity 4)  7 Mg 3.07-3.12, 5 Ga 3.09-3.20
Ga1 0.0000 0.0000 0.0000 (multiplicity 2)  8 Mg 3.04-3.11, 4 In 3.20
Ga2 0.1542 0.5000 0.5552 (multiplicity 4)  1 Ga 2.80, 6 Mg 2.99-3.12, 3 In 3.09-3.13

Record 6
DFT (PBE-GGA) results for Ga2H6Se after structural relaxation.

Values from the calculation:
The value obtained for the calculated volume is 426.8 Å³/cell. The value obtained for the electronic total energy is -2.60 eV/atom.

Unit cell a=7.5289 b=7.5289 c=7.5289 alpha=90.00 beta=90.00 gamma=90.00
With the nearest neighbours (Å) after each atom.
Space group Fm-3m (No. 225)
One atom of each set of equivalent atoms:
Ga1 0.2500 0.2500 0.2500 (multiplicity 8)  12 H 2.67
H1 0.0000 0.0000 0.2293 (multiplicity 24)  1 Se 1.73
Se1 0.0000 0.0000 0.0000 (multiplicity 4)  6 H 1.73

Record 7
DFT (PBE-GGA) results for La9Tb2Ce after structural relaxation.

Values from the calculation:
The value obtained for the calculated volume is 421.8 Å³/cell. The value obtained for the electronic total energy is -4.93 eV/atom. As for the energy of formation from the pure elements: 0.0277 eV/atom.

Unit cell a=5.2011 b=5.2011 c=15.5931 alpha=90.00 beta=90.00 gamma=90.00
With the nearest neighbours (Å) after each atom.
Space group P4/mmm (No. 123)
One atom of each set of equivalent atoms:
La1 0.0000 0.0000 0.0000 (multiplicity 1)  8 La 3.64, 4 Ce 3.68
La2 0.0000 0.0000 0.3329 (multiplicity 2)  4 Tb 3.68, 8 La 3.68-3.71
La3 0.0000 0.5000 0.1632 (multiplicity 4)  2 Ce 3.64, 8 La 3.64-3.71, 2 Tb 3.71
La4 0.0000 0.5000 0.5000 (multiplicity 2)  8 La 3.68, 4 Tb 3.68
Tb1 0.5000 0.5000 0.3331 (multiplicity 2)  12 La 3.68-3.71
Ce1 0.5000 0.5000 0.0000 (multiplicity 1)  12 La 3.64-3.68

Record 8
DFT (PBE-GGA) results for TmSiS4 after structural relaxation.

Values from the calculation:
The value obtained for the calculated volume is 354.0 Å³/cell. The uncorrected formation energy is -0.841 eV per atom. The value obtained for the electronic total energy is -5.24 eV/atom.

Unit cell a=6.1836 b=6.1836 c=9.2589 alpha=90.00 beta=90.00 gamma=90.00
With the nearest neighbours (Å) after each atom.
Space group P-42c (No. 112)
One atom of each set of equivalent atoms:
Tm1 0.0000 0.0000 0.0000 (multiplicity 2)  4 S 2.59
Si1 0.0000 0.5000 0.2500 (multiplicity 2)  4 S 2.13
S1 0.2175 0.2917 0.3618 (multiplicity 8)  1 Si 2.13

Record 9
DFT (PBE-GGA) results for Pm2Ho after structural relaxation.

Values from the calculation:
The value obtained for the calculated volume is 299.8 Å³/cell. Its energy above the most stable polymorph in this dataset is 0 meV per atom. The value obtained for the electronic total energy is -4.67 eV/atom. As for the energy of formation from the pure elements: 0.0199 eV/atom.

Unit cell a=3.6305 b=3.6305 c=26.2698 alpha=90.00 beta=90.00 gamma=120.00
With the nearest neighbours (Å) after each atom.
Space group R-3m (No. 166, hexagonal axes)
One atom of each set of equivalent atoms:
Pm1 0.0000 0.0000 0.2236 (multiplicity 6)  3 Ho 3.56, 9 Pm 3.63-3.65
Ho1 0.0000 0.0000 0.0000 (multiplicity 3)  6 Pm 3.56, 6 Ho 3.63

Record 10
DFT (PBE-GGA) results for KZr2Te after structural relaxation.

Values from the calculation:
The value obtained for the calculated volume is 477.9 Å³/cell. The uncorrected formation energy is 0.457 eV per atom. The value obtained for the electronic total energy is -4.88 eV/atom.

Unit cell a=8.7368 b=8.7368 c=6.2604 alpha=90.00 beta=90.00 gamma=90.00
With the nearest neighbours (Å) after each atom.
Space group I-42d (No. 122)
One atom of each set of equivalent atoms:
K1 0.0000 0.0000 0.0000 (multiplicity 4)  2 Te 3.13
Zr1 0.1933 0.2500 0.6250 (multiplicity 8)  2 Te 2.87
Te1 0.0000 0.0000 0.5000 (multiplicity 4)  4 Zr 2.87, 2 K 3.13

Record 11
DFT (PBE-GGA) results for PaTlBi2 after structural relaxation.

Values from the calculation:
The value obtained for the calculated volume is 113.4 Å³/cell. Its energy above the most stable polymorph in this dataset is 32 meV per atom. The value obtained for the electronic total energy is -4.99 eV/atom. As for the energy of formation from the pure elements: -0.0812 eV/atom.

Unit cell a=5.1432 b=5.1432 c=4.2864 alpha=90.00 beta=90.00 gamma=90.00
With the nearest neighbours (Å) after each atom.
Space group P4/mmm (No. 123)
One atom of each set of equivalent atoms:
Pa1 0.0000 0.0000 0.0000 (multiplicity 1)  8 Bi 3.35, 4 Tl 3.64
Tl1 0.5000 0.5000 0.0000 (multiplicity 1)  8 Bi 3.35, 4 Pa 3.64
Bi1 0.0000 0.5000 0.5000 (multiplicity 2)  4 Tl 3.35, 4 Pa 3.35, 4 Bi 3.64

Record 12
DFT (PBE-GGA) results for TlVIn2Mo after structural relaxation.

Values from the calculation:
The value obtained for the calculated volume is 133.4 Å³/cell. The value obtained for the electronic total energy is -4.88 eV/atom. As for the energy of formation from the pure elements: 0.6784 eV/atom.

Unit cell a=5.4650 b=5.4650 c=4.4660 alpha=90.00 beta=90.00 gamma=90.00
With the nearest neighbours (Å) after each atom.
Space group P4/mmm (No. 123)
One atom of each set of equivalent atoms:
Tl1 0.0000 0.0000 0.0000 (multiplicity 1)  8 In 3.53, 4 V 3.86
V1 0.5000 0.5000 0.0000 (multiplicity 1)  2 Mo 2.23
In1 0.0000 0.5000 0.5000 (multiplicity 2)  2 Mo 2.73
Mo1 0.5000 0.5000 0.5000 (multiplicity 1)  2 V 2.23